A plane-wave DFT calculation with GGA+U was carried out for ScMoO2F after structural relaxation.

Results
- energy (eV per atom) = -7.041
- M_tot (μB per cell) = 4.0

Cell lengths 4.127, 4.127, 3.979 Å; angles 90.00, 90.00, 90.00 degrees
Last column: magnetic moment on the atom in μB.
Sites, in units of the cell vectors:
O (0.000, 0.500, 0.000)  -0.10
O (0.500, 0.000, 0.000)  -0.10
F (0.000, 0.000, 0.500)  0.04
Mo (0.500, 0.500, 0.500)  3.75
Sc (0.000, 0.000, 0.000)  0.01